Density functional theory data (PBE) for an optimized crystal structure of ZnHg6.

## Properties
DOS(E_F) (states/eV per cell): 2.6
Electronic total energy (eV per cell): -2.66
Calculated formation energy (eV/atom): 0.251

Lattice parameters (Å, degrees): 8.889 8.889 8.889 90.00 90.00 90.00
Space group Im-3m (No. 229)
Asymmetric unit:
Zn 0.000 0.000 0.000 [2 per cell]
Hg 0.000 0.250 0.500 [12 per cell]

Density functional theory data (PBE) for an optimized crystal structure of RbSb2I7.

## Properties
Formation energy without anion corrections (eV/atom): -0.474
DOS(E_F) (states/eV per cell): 0.9
Electronic total energy (eV per cell): -49.60

Lattice parameters (Å, degrees): 10.097 15.649 5.966 90.00 90.00 90.00
Space group Cmmm (No. 65)
Asymmetric unit:
Rb 0.000 0.000 0.000 [2 per cell]
Sb 0.000 0.267 0.500 [4 per cell]
I 0.000 0.301 0.000 [4 per cell]
I 0.000 0.500 0.500 [2 per cell]
I 0.194 0.130 0.500 [8 per cell]

Question: Number 1 is which compound?
Answer: ZnHg6